Entry 1:
Density functional theory data (GGA-PBE) for Ni8Ge2P after structural relaxation. Values from VASP.

ΔE_f, meV/atom: -255
Fermi-level density of states, states/eV per cell: 6.4
Magnetization, Bohr magnetons per cell: 0.00
Crystal system: orthorhombic
Excess energy over the best structure of this formula in the dataset, eV per atom: 0.0553
Volume, Å³ per cell: 129
Space-group type: Immm (71)
Uncorrected energy, eV per cell: -63.7

Cell and atoms, written as Quantum ESPRESSO input:
```
&SYSTEM
  ibrav = 0, nat = 11, ntyp = 3
/
ATOMIC_SPECIES
Ni 58.69 Ni.upf
Ge 72.64 Ge.upf
P 30.97 P.upf
ATOMIC_POSITIONS angstrom
Ni 1.857 1.763 -1.651
Ni 0.000 0.000 1.378
Ni 0.000 2.046 0.000
Ni 1.857 1.763 1.651
Ni 0.000 1.543 3.581
Ni 0.000 4.567 0.000
Ni 0.000 0.000 9.087
Ni 0.000 1.543 6.884
Ge 1.857 0.000 3.261
Ge 0.000 3.307 1.972
P 1.857 0.000 0.000
CELL_PARAMETERS angstrom
-1.857 3.307 5.233
1.857 -3.307 5.233
1.857 3.307 -5.233
```

Entry 2:
Density functional theory data (GGA-PBE) for Ni3GeP2 after structural relaxation. Values from VASP.

ΔE_f, meV/atom: -306
Fermi-level density of states, states/eV per cell: 7.0
Magnetization, Bohr magnetons per cell: 0.00
Crystal system: monoclinic
Volume, Å³ per cell: 157
Space-group type: P2_1/m (11)
Uncorrected energy, eV per cell: -69.2

Cell and atoms, written as Quantum ESPRESSO input:
```
&SYSTEM
  ibrav = 0, nat = 12, ntyp = 3
/
ATOMIC_SPECIES
Ni 58.69 Ni.upf
Ge 72.64 Ge.upf
P 30.97 P.upf
ATOMIC_POSITIONS angstrom
Ni 0.694 0.874 0.907
Ni 0.731 0.874 3.401
Ni 1.079 0.874 5.948
Ni 4.131 2.622 1.198
Ni 4.479 2.622 3.745
Ni 4.516 2.622 6.240
Ge 2.122 2.622 4.600
Ge 3.087 0.874 2.547
P -0.129 2.622 2.185
P 2.035 2.622 0.277
P 3.174 0.874 6.870
P 5.339 0.874 4.961
CELL_PARAMETERS angstrom
6.285 0.000 0.000
0.000 3.496 0.000
-1.075 0.000 7.146
```

Entry 3:
Density functional theory data (GGA-PBE) for NiGeP after structural relaxation. Values from VASP.

ΔE_f, meV/atom: -269
Fermi-level density of states, states/eV per cell: 1.0
Magnetization, Bohr magnetons per cell: 0.00
Crystal system: orthorhombic
Excess energy over the best structure of this formula in the dataset, eV per atom: 0.0130
Volume, Å³ per cell: 88
Space-group type: Pmn2_1 (31)
Uncorrected energy, eV per cell: -33.2

Cell and atoms, written as Quantum ESPRESSO input:
```
&SYSTEM
  ibrav = 0, nat = 6, ntyp = 3
/
ATOMIC_SPECIES
Ni 58.69 Ni.upf
Ge 72.64 Ge.upf
P 30.97 P.upf
ATOMIC_POSITIONS angstrom
Ni 0.000 1.151 0.000
Ni 1.458 4.027 2.918
Ge 0.000 2.200 3.656
Ge 1.458 2.977 0.738
P 0.000 0.362 2.118
P 1.458 4.815 5.036
CELL_PARAMETERS angstrom
2.916 0.000 0.000
0.000 5.178 0.000
0.000 0.000 5.836
```

Entry 4:
Density functional theory data (GGA-PBE) for NiGeP2 after structural relaxation. Values from VASP.

ΔE_f, meV/atom: 401
Fermi-level density of states, states/eV per cell: 3.2
Magnetization, Bohr magnetons per cell: 0.00
Crystal system: trigonal
Volume, Å³ per cell: 72
Space-group type: R-3m (166)
Uncorrected energy, eV per cell: -19.6

Cell and atoms, written as Quantum ESPRESSO input:
```
&SYSTEM
  ibrav = 0, nat = 4, ntyp = 3
/
ATOMIC_SPECIES
Ni 58.69 Ni.upf
Ge 72.64 Ge.upf
P 30.97 P.upf
ATOMIC_POSITIONS angstrom
Ni 0.000 0.000 0.000
Ge 0.000 0.000 10.868
P 0.000 0.000 2.121
P 0.000 0.000 19.615
CELL_PARAMETERS angstrom
1.692 0.977 7.245
-1.692 0.977 7.245
0.000 -1.953 7.245
```

Entry 5:
Density functional theory data (GGA-PBE) for Ni14GeP after structural relaxation. Values from VASP.

ΔE_f, meV/atom: -107
Fermi-level density of states, states/eV per cell: 29.2
Magnetization, Bohr magnetons per cell: 5.07
Crystal system: tetragonal
Volume, Å³ per cell: 175
Space-group type: P4/mmm (123)
Uncorrected energy, eV per cell: -92.7

Cell and atoms, written as Quantum ESPRESSO input:
```
&SYSTEM
  ibrav = 0, nat = 16, ntyp = 3
/
ATOMIC_SPECIES
Ni 58.69 Ni.upf
Ge 72.64 Ge.upf
P 30.97 P.upf
ATOMIC_POSITIONS angstrom
Ni 0.000 0.000 0.000
Ni 0.000 2.515 0.000
Ni 0.000 2.515 3.465
Ni 1.239 1.239 1.746
Ni 1.239 1.239 5.184
Ni 1.239 3.791 1.746
Ni 1.239 3.791 5.184
Ni 2.515 0.000 0.000
Ni 2.515 0.000 3.465
Ni 2.515 2.515 0.000
Ni 3.791 1.239 1.746
Ni 3.791 1.239 5.184
Ni 3.791 3.791 1.746
Ni 3.791 3.791 5.184
Ge 2.515 2.515 3.465
P 0.000 0.000 3.465
CELL_PARAMETERS angstrom
5.030 0.000 0.000
0.000 5.030 0.000
0.000 0.000 6.930
```

Entry 6:
Density functional theory data (GGA-PBE) for Ni2GePPd after structural relaxation. Values from VASP.

ΔE_f, meV/atom: 769
Fermi-level density of states, states/eV per cell: 6.6
Magnetization, Bohr magnetons per cell: 0.00
Crystal system: tetragonal
Volume, Å³ per cell: 86
Space-group type: P4/mmm (123)
Uncorrected energy, eV per cell: -22.9

Cell and atoms, written as Quantum ESPRESSO input:
```
&SYSTEM
  ibrav = 0, nat = 5, ntyp = 4
/
ATOMIC_SPECIES
Ni 58.69 Ni.upf
Ge 72.64 Ge.upf
P 30.97 P.upf
Pd 106.42 Pd.upf
ATOMIC_POSITIONS angstrom
Ni 0.000 2.151 0.000
Ni 2.151 0.000 0.000
Ge 0.000 0.000 0.000
P 0.000 0.000 2.328
Pd 2.151 2.151 2.328
CELL_PARAMETERS angstrom
4.301 0.000 0.000
0.000 4.301 0.000
0.000 0.000 4.655
```

Entry 7:
Density functional theory data (GGA-PBE) for PmNi4GeP2 after structural relaxation. Values from VASP.

ΔE_f, meV/atom: -694
Fermi-level density of states, states/eV per cell: 6.2
Magnetization, Bohr magnetons per cell: 0.00
Crystal system: tetragonal
Volume, Å³ per cell: 115
Space-group type: P4/mmm (123)
Uncorrected energy, eV per cell: -48.9

Cell and atoms, written as Quantum ESPRESSO input:
```
&SYSTEM
  ibrav = 0, nat = 8, ntyp = 4
/
ATOMIC_SPECIES
Pm 145.00 Pm.upf
Ni 58.69 Ni.upf
Ge 72.64 Ge.upf
P 30.97 P.upf
ATOMIC_POSITIONS angstrom
Pm 0.000 0.000 0.000
Ni 0.000 1.965 2.323
Ni 0.000 1.965 5.090
Ni 1.965 0.000 2.323
Ni 1.965 0.000 5.090
Ge 0.000 0.000 3.707
P 1.965 1.965 1.199
P 1.965 1.965 6.214
CELL_PARAMETERS angstrom
3.931 0.000 0.000
0.000 3.931 0.000
0.000 0.000 7.413
```

Entry 8:
Density functional theory data (GGA-PBE) for Pr2Ni4Ge3P after structural relaxation. Values from VASP.

ΔE_f, meV/atom: -730
Fermi-level density of states, states/eV per cell: 7.7
Magnetization, Bohr magnetons per cell: 0.00
Crystal system: tetragonal
Volume, Å³ per cell: 167
Space-group type: P-4m2 (115)
Uncorrected energy, eV per cell: -59.2

Cell and atoms, written as Quantum ESPRESSO input:
```
&SYSTEM
  ibrav = 0, nat = 10, ntyp = 4
/
ATOMIC_SPECIES
Pr 140.91 Pr.upf
Ni 58.69 Ni.upf
Ge 72.64 Ge.upf
P 30.97 P.upf
ATOMIC_POSITIONS angstrom
Pr 0.000 2.088 2.351
Pr 2.088 0.000 7.202
Ni 0.000 0.000 4.776
Ni 0.000 2.088 8.476
Ni 2.088 0.000 1.077
Ni 2.088 2.088 4.776
Ge 0.000 0.000 0.000
Ge 0.000 2.088 6.011
Ge 2.088 0.000 3.542
P 2.088 2.088 0.000
CELL_PARAMETERS angstrom
4.177 0.000 0.000
0.000 4.177 0.000
0.000 0.000 9.553
```

Entry 9:
Density functional theory data (GGA-PBE) for Pr2Ni4GeP3 after structural relaxation. Values from VASP.

ΔE_f, meV/atom: -903
Fermi-level density of states, states/eV per cell: 6.0
Magnetization, Bohr magnetons per cell: 0.00
Crystal system: tetragonal
Volume, Å³ per cell: 156
Space-group type: P-4m2 (115)
Uncorrected energy, eV per cell: -62.6

Cell and atoms, written as Quantum ESPRESSO input:
```
&SYSTEM
  ibrav = 0, nat = 10, ntyp = 4
/
ATOMIC_SPECIES
Pr 140.91 Pr.upf
Ni 58.69 Ni.upf
Ge 72.64 Ge.upf
P 30.97 P.upf
ATOMIC_POSITIONS angstrom
Pr 0.000 2.027 2.329
Pr 2.027 0.000 7.166
Ni 0.000 0.000 0.000
Ni 0.000 2.027 5.950
Ni 2.027 0.000 3.545
Ni 2.027 2.027 0.000
Ge 0.000 0.000 4.747
P 0.000 2.027 8.285
P 2.027 0.000 1.210
P 2.027 2.027 4.747
CELL_PARAMETERS angstrom
4.053 0.000 0.000
0.000 4.053 0.000
0.000 0.000 9.494
```

Entry 10:
Density functional theory data (GGA-PBE) for Ni2GePPt after structural relaxation. Values from VASP.

ΔE_f, meV/atom: 58
Fermi-level density of states, states/eV per cell: 2.6
Magnetization, Bohr magnetons per cell: 0.00
Crystal system: tetragonal
Volume, Å³ per cell: 81
Space-group type: P4/mmm (123)
Uncorrected energy, eV per cell: -27.3

Cell and atoms, written as Quantum ESPRESSO input:
```
&SYSTEM
  ibrav = 0, nat = 5, ntyp = 4
/
ATOMIC_SPECIES
Ni 58.69 Ni.upf
Ge 72.64 Ge.upf
P 30.97 P.upf
Pt 195.08 Pt.upf
ATOMIC_POSITIONS angstrom
Ni 0.000 2.102 0.000
Ni 2.102 0.000 0.000
Ge 0.000 0.000 2.284
P 2.102 2.102 0.000
Pt 2.102 2.102 2.284
CELL_PARAMETERS angstrom
4.203 0.000 0.000
0.000 4.203 0.000
0.000 0.000 4.567
```